(1)
Here is Ta2AlSF at its PBEsol-relaxed geometry from the Alexandria database. Energies are from SCAN.

The structure in CIF format:
```
data_Ta2AlSF
_chemical_formula_sum 'Ta2 Al1 S1 F1'
_cell_length_a 4.595
_cell_length_b 4.595
_cell_length_c 4.083
_cell_angle_alpha 90.00
_cell_angle_beta 90.00
_cell_angle_gamma 90.00
_symmetry_space_group_name_H-M 'P 1'
_symmetry_Int_Tables_number 1
loop_
_symmetry_equiv_pos_as_xyz
'x,y,z'
loop_
_atom_site_label
_atom_site_fract_x
_atom_site_fract_y
_atom_site_fract_z
_atom_site_occupancy
Ta1 0.000 0.500 0.000 1
Ta2 0.500 0.000 0.000 1
Al1 0.000 0.000 0.500 1
S1 0.500 0.500 0.000 1
F1 0.500 0.500 0.500 1
```


(2)
Here is AlSbF2 at its PBEsol-relaxed geometry from the Alexandria database. Energies are from SCAN.

The structure in CIF format:
```
data_AlSbF2
_chemical_formula_sum 'Al1 Sb1 F2'
_cell_length_a 8.580
_cell_length_b 8.580
_cell_length_c 8.580
_cell_angle_alpha 20.57
_cell_angle_beta 20.57
_cell_angle_gamma 20.57
_symmetry_space_group_name_H-M 'P 1'
_symmetry_Int_Tables_number 1
loop_
_symmetry_equiv_pos_as_xyz
'x,y,z'
loop_
_atom_site_label
_atom_site_fract_x
_atom_site_fract_y
_atom_site_fract_z
_atom_site_occupancy
Al1 0.000 0.000 0.000 1
Sb1 0.500 0.500 0.500 1
F1 0.069 0.069 0.069 1
F2 0.931 0.931 0.931 1
```


(3)
Here is ScAlF2 at its PBEsol-relaxed geometry from the Alexandria database. Energies are from SCAN.

The structure in CIF format:
```
data_ScAlF2
_chemical_formula_sum 'Sc2 Al2 F4'
_cell_length_a 7.024
_cell_length_b 7.024
_cell_length_c 7.024
_cell_angle_alpha 138.59
_cell_angle_beta 138.59
_cell_angle_gamma 59.99
_symmetry_space_group_name_H-M 'P 1'
_symmetry_Int_Tables_number 1
loop_
_symmetry_equiv_pos_as_xyz
'x,y,z'
loop_
_atom_site_label
_atom_site_fract_x
_atom_site_fract_y
_atom_site_fract_z
_atom_site_occupancy
Sc1 0.000 0.000 0.000 1
Sc2 0.750 0.250 0.500 1
Al1 0.250 0.750 0.500 1
Al2 0.500 0.500 0.000 1
F1 0.375 0.195 0.320 1
F2 0.805 0.125 0.180 1
F3 0.875 0.055 0.680 1
F4 0.945 0.625 0.820 1
```


(4)
Here is AlSnSeF2 at its PBEsol-relaxed geometry from the Alexandria database. Energies are from SCAN.

The structure in CIF format:
```
data_AlSnSeF2
_chemical_formula_sum 'Al1 Sn1 Se1 F2'
_cell_length_a 3.993
_cell_length_b 3.993
_cell_length_c 5.302
_cell_angle_alpha 90.00
_cell_angle_beta 90.00
_cell_angle_gamma 90.00
_symmetry_space_group_name_H-M 'P 1'
_symmetry_Int_Tables_number 1
loop_
_symmetry_equiv_pos_as_xyz
'x,y,z'
loop_
_atom_site_label
_atom_site_fract_x
_atom_site_fract_y
_atom_site_fract_z
_atom_site_occupancy
Al1 0.000 0.000 0.000 1
Sn1 0.500 0.500 0.500 1
Se1 0.000 0.000 0.500 1
F1 0.000 0.500 0.000 1
F2 0.500 0.000 0.000 1
```


(5)
# AlSnF2 (SCAN, PBEsol geometry)
# Excess energy over the best structure of this formula in the dataset ... 0 meV/atom
data_AlSnF2
_chemical_formula_sum 'Al1 Sn1 F2'
_cell_length_a 7.994
_cell_length_b 7.994
_cell_length_c 7.994
_cell_angle_alpha 22.01
_cell_angle_beta 22.01
_cell_angle_gamma 22.01
_symmetry_space_group_name_H-M 'P 1'
_symmetry_Int_Tables_number 1
loop_
_symmetry_equiv_pos_as_xyz
'x,y,z'
loop_
_atom_site_label
_atom_site_fract_x
_atom_site_fract_y
_atom_site_fract_z
_atom_site_occupancy
Al1 0.000 0.000 0.000 1
Sn1 0.500 0.500 0.500 1
F1 0.078 0.078 0.078 1
F2 0.922 0.922 0.922 1


(6)
Here is Sr5Al2F16 at its PBEsol-relaxed geometry from the Alexandria database. Energies are from SCAN.

The structure in CIF format:
```
data_Sr5Al2F16
_chemical_formula_sum 'Sr10 Al4 F32'
_cell_length_a 7.252
_cell_length_b 7.252
_cell_length_c 14.042
_cell_angle_alpha 90.00
_cell_angle_beta 90.00
_cell_angle_gamma 118.24
_symmetry_space_group_name_H-M 'P 1'
_symmetry_Int_Tables_number 1
loop_
_symmetry_equiv_pos_as_xyz
'x,y,z'
loop_
_atom_site_label
_atom_site_fract_x
_atom_site_fract_y
_atom_site_fract_z
_atom_site_occupancy
Sr1 0.250 0.250 0.122 1
Sr2 0.250 0.250 0.622 1
Sr3 0.250 0.750 0.250 1
Sr4 0.250 0.750 0.533 1
Sr5 0.250 0.750 0.967 1
Sr6 0.750 0.250 0.033 1
Sr7 0.750 0.250 0.467 1
Sr8 0.750 0.250 0.750 1
Sr9 0.750 0.750 0.378 1
Sr10 0.750 0.750 0.878 1
Al1 0.250 0.250 0.371 1
Al2 0.250 0.250 0.871 1
Al3 0.750 0.750 0.129 1
Al4 0.750 0.750 0.629 1
F1 0.007 0.612 0.396 1
F2 0.036 0.867 0.629 1
F3 0.066 0.228 0.963 1
F4 0.080 0.249 0.778 1
F5 0.112 0.507 0.104 1
F6 0.133 0.964 0.871 1
F7 0.228 0.066 0.463 1
F8 0.249 0.080 0.278 1
F9 0.251 0.420 0.278 1
F10 0.272 0.434 0.463 1
F11 0.367 0.536 0.871 1
F12 0.388 0.993 0.104 1
F13 0.420 0.251 0.778 1
F14 0.434 0.272 0.963 1
F15 0.464 0.633 0.629 1
F16 0.493 0.888 0.396 1
F17 0.507 0.112 0.604 1
F18 0.536 0.367 0.371 1
F19 0.566 0.728 0.037 1
F20 0.580 0.749 0.222 1
F21 0.612 0.007 0.896 1
F22 0.633 0.464 0.129 1
F23 0.728 0.566 0.537 1
F24 0.749 0.580 0.722 1
F25 0.751 0.920 0.722 1
F26 0.772 0.934 0.537 1
F27 0.867 0.036 0.129 1
F28 0.888 0.493 0.896 1
F29 0.920 0.751 0.222 1
F30 0.934 0.772 0.037 1
F31 0.964 0.133 0.371 1
F32 0.993 0.388 0.604 1
```


(7)
# SrAlF5 (SCAN, PBEsol geometry)
# Excess energy over the best structure of this formula in the dataset ... 0 meV/atom
data_SrAlF5
_chemical_formula_sum 'Sr8 Al8 F40'
_cell_length_a 10.610
_cell_length_b 10.610
_cell_length_c 10.610
_cell_angle_alpha 96.50
_cell_angle_beta 96.50
_cell_angle_gamma 140.67
_symmetry_space_group_name_H-M 'P 1'
_symmetry_Int_Tables_number 1
loop_
_symmetry_equiv_pos_as_xyz
'x,y,z'
loop_
_atom_site_label
_atom_site_fract_x
_atom_site_fract_y
_atom_site_fract_z
_atom_site_occupancy
Sr1 0.051 0.777 0.828 1
Sr2 0.223 0.051 0.274 1
Sr3 0.253 0.569 0.822 1
Sr4 0.431 0.253 0.684 1
Sr5 0.569 0.747 0.316 1
Sr6 0.747 0.431 0.178 1
Sr7 0.777 0.949 0.726 1
Sr8 0.949 0.223 0.172 1
Al1 0.000 0.500 0.500 1
Al2 0.183 0.334 0.516 1
Al3 0.252 0.252 0.000 1
Al4 0.334 0.818 0.151 1
Al5 0.500 0.000 0.500 1
Al6 0.666 0.183 0.849 1
Al7 0.747 0.747 0.000 1
Al8 0.818 0.666 0.484 1
F1 0.066 0.610 0.675 1
F2 0.073 0.884 0.610 1
F3 0.083 0.221 0.650 1
F4 0.115 0.447 0.562 1
F5 0.116 0.726 0.189 1
F6 0.122 0.283 0.919 1
F7 0.203 0.122 0.840 1
F8 0.221 0.572 0.138 1
F9 0.230 0.745 0.974 1
F10 0.250 0.750 0.500 1
F11 0.255 0.230 0.485 1
F12 0.274 0.463 0.390 1
F13 0.283 0.363 0.160 1
F14 0.363 0.203 0.081 1
F15 0.391 0.066 0.456 1
F16 0.429 0.567 0.649 1
F17 0.434 0.083 0.862 1
F18 0.447 0.885 0.331 1
F19 0.463 0.073 0.189 1
F20 0.499 0.499 0.000 1
F21 0.537 0.927 0.811 1
F22 0.554 0.115 0.669 1
F23 0.567 0.917 0.138 1
F24 0.572 0.434 0.350 1
F25 0.610 0.934 0.544 1
F26 0.635 0.795 0.919 1
F27 0.717 0.635 0.840 1
F28 0.726 0.537 0.610 1
F29 0.745 0.771 0.515 1
F30 0.750 0.250 0.500 1
F31 0.771 0.255 0.026 1
F32 0.780 0.429 0.862 1
F33 0.795 0.877 0.160 1
F34 0.877 0.717 0.081 1
F35 0.884 0.274 0.811 1
F36 0.885 0.554 0.438 1
F37 0.917 0.780 0.351 1
F38 0.927 0.116 0.390 1
F39 0.934 0.391 0.325 1
F40 0.999 0.999 0.000 1


(8)
# SrAlF2 (SCAN, PBEsol geometry)
# Excess energy over the best structure of this formula in the dataset ... 0 meV/atom
data_SrAlF2
_chemical_formula_sum 'Sr2 Al2 F4'
_cell_length_a 7.130
_cell_length_b 7.130
_cell_length_c 7.130
_cell_angle_alpha 131.68
_cell_angle_beta 131.68
_cell_angle_gamma 70.74
_symmetry_space_group_name_H-M 'P 1'
_symmetry_Int_Tables_number 1
loop_
_symmetry_equiv_pos_as_xyz
'x,y,z'
loop_
_atom_site_label
_atom_site_fract_x
_atom_site_fract_y
_atom_site_fract_z
_atom_site_occupancy
Sr1 0.000 0.000 0.000 1
Sr2 0.750 0.250 0.500 1
Al1 0.250 0.750 0.500 1
Al2 0.500 0.500 0.000 1
F1 0.052 0.625 0.927 1
F2 0.375 0.302 0.427 1
F3 0.698 0.125 0.073 1
F4 0.875 0.948 0.573 1


Listing E_form (uncorrected) for the structures above in their given order: 0.235, -1.560, -2.029, -1.616, -1.725, -4.090, -4.010, -2.142 eV/atom.
Listing N(E_F) for the structures above in their given order: 2.6, 1.4, 3.9, 1.6, 0.3, 0.0, 0.0, 2.3 states/eV per cell.